[1]
Density functional theory data (PBE) for YMgTi after structural relaxation.

## Properties
DOS at the Fermi energy (states/eV/atom): 1.21
Electronic total energy (eV per atom): -5.013
Energy of formation (eV/atom): 0.305
Size of the total moment (μB/f.u.): 0.40

Geometry as POSCAR:
```
YMgTi
1.0
4.581 -2.636 0.000
4.581 2.636 0.000
-3.205 0.000 6.247
Y Mg Ti
2 2 2
direct
0.115 0.115 0.353
0.885 0.885 0.647
0.297 0.297 0.877
0.703 0.703 0.123
0.441 0.441 0.332
0.559 0.559 0.668
```

=====

[2]
Density functional theory data (PBE) for Mg2AsPb after structural relaxation.

## Properties
DOS at the Fermi energy (states/eV/atom): 0.61
Electronic total energy (eV per atom): -3.110
Distance to the lowest polymorph of the same formula (kcal/mol of atoms): 0.00
Energy of formation (eV/atom): -0.223
Size of the total moment (μB/f.u.): 0.00

Geometry as POSCAR:
```
Mg2AsPb
1.0
2.018 1.165 7.171
-2.018 1.165 7.171
0.000 -2.330 7.171
Mg As Pb
2 1 1
direct
0.225 0.225 0.225
0.775 0.775 0.775
0.500 0.500 0.500
0.000 0.000 0.000
```

=====

[3]
Density functional theory data (PBE) for Pr2SnPd5 after structural relaxation.

## Properties
DOS at the Fermi energy (states/eV/atom): 0.34
Electronic total energy (eV per atom): -5.646
Energy of formation (eV/atom): -0.705
Size of the total moment (μB/f.u.): 0.00

Geometry as POSCAR:
```
Pr2SnPd5
1.0
-3.178 3.178 4.148
3.178 -3.178 4.148
3.178 3.178 -4.148
Pr Sn Pd
2 1 5
direct
0.000 0.500 0.500
0.500 0.000 0.500
0.341 0.341 0.000
0.003 0.003 0.000
0.524 0.524 0.567
0.524 0.957 0.000
0.957 0.524 0.000
0.957 0.957 0.433
```